No. 1
# Sc2CrP (PBE, optimized geometry)
data_Sc2CrP
_cell_length_a 3.3507
_cell_length_b 3.3507
_cell_length_c 23.4769
_cell_angle_alpha 90.00
_cell_angle_beta 90.00
_cell_angle_gamma 120.00
_space_group_name_H-M_alt 'R 3 m'
_space_group_IT_number 160
_space_group_name_Hall 'R 3 -2"'
loop_
_atom_site_label
_atom_site_type_symbol
_atom_site_fract_x
_atom_site_fract_y
_atom_site_fract_z
Sc1 Sc 0.0000 0.0000 0.0000
Sc2 Sc 0.0000 0.0000 0.2099
Cr1 Cr 0.0000 0.0000 0.7569
P1 P 0.0000 0.0000 0.4724
# E_tot: -7.18 eV per atom
# Total magnetic moment: 0.4 μB per formula unit
# Formation enthalpy at 0 K: -259.6 meV/atom


No. 2
# MgIn2P (PBE, optimized geometry)
data_MgIn2P
_cell_length_a 3.7748
_cell_length_b 3.7321
_cell_length_c 6.9447
_cell_angle_alpha 90.00
_cell_angle_beta 104.80
_cell_angle_gamma 90.00
_space_group_name_H-M_alt 'P 1 m 1'
_space_group_IT_number 6
loop_
_space_group_symop_operation_xyz
'x,y,z'
'x,-y,z'
loop_
_atom_site_label
_atom_site_type_symbol
_atom_site_fract_x
_atom_site_fract_y
_atom_site_fract_z
Mg1 Mg 0.0000 0.0000 0.0000
In1 In 0.3075 0.0000 0.6077
In2 In 0.6768 0.5000 0.3435
P1 P 0.4722 0.5000 0.9421
# Energy above the most stable polymorph in this dataset: 0.0125 eV per atom
# E_tot: -3.22 eV per atom
# Total magnetic moment: 0.0 μB per formula unit
# Formation enthalpy at 0 K: -102.9 meV/atom


No. 3
# Fe2TcAs (PBE, optimized geometry)
data_Fe2TcAs
_cell_length_a 2.7955
_cell_length_b 3.7928
_cell_length_c 4.9652
_cell_angle_alpha 90.00
_cell_angle_beta 90.00
_cell_angle_gamma 90.00
_space_group_name_H-M_alt 'P m m m'
_space_group_IT_number 47
loop_
_space_group_symop_operation_xyz
'x,y,z'
'-x,-y,-z'
'-x,-y,z'
'x,y,-z'
'x,-y,-z'
'-x,y,z'
'-x,y,-z'
'x,-y,z'
loop_
_atom_site_label
_atom_site_type_symbol
_atom_site_fract_x
_atom_site_fract_y
_atom_site_fract_z
Fe1 Fe 0.0000 0.0000 0.2447
Tc1 Tc 0.5000 0.5000 0.0000
As1 As 0.5000 0.5000 0.5000
# Energy above the most stable polymorph in this dataset: 0.0890 eV per atom
# E_tot: -7.86 eV per atom
# Total magnetic moment: 3.5 μB per formula unit
# Formation enthalpy at 0 K: 128.3 meV/atom


No. 4
# Ho4Sn2B (PBE, optimized geometry)
data_Ho4Sn2B
_cell_length_a 4.8543
_cell_length_b 4.8543
_cell_length_c 15.9627
_cell_angle_alpha 90.00
_cell_angle_beta 90.00
_cell_angle_gamma 90.00
_space_group_name_H-M_alt 'I 4/m m m'
_space_group_IT_number 139
_space_group_name_Hall '-I 4 2'
loop_
_atom_site_label
_atom_site_type_symbol
_atom_site_fract_x
_atom_site_fract_y
_atom_site_fract_z
Ho1 Ho 0.0000 0.0000 0.1650
Ho2 Ho 0.0000 0.5000 0.0000
Sn1 Sn 0.0000 0.0000 0.3622
B1 B 0.0000 0.0000 0.0000
# E_tot: -5.23 eV per atom
# Total magnetic moment: 0.0 μB per formula unit
# Formation enthalpy at 0 K: -516.4 meV/atom